Record 1
A plane-wave DFT calculation with PBEsol was carried out for crystalline B2OsCBr at its relaxed geometry.

Space-group type: P4/mmm, No. 123
Total energy: -27.48 eV/cell

```
5
Lattice="3.2826 0.0000 0.0000 0.0000 3.2826 0.0000 0.0000 0.0000 5.9719" Properties=species:S:1:pos:R:3 pbc="T T T"
B 0.0000 1.6413 0.0000
B 1.6413 0.0000 0.0000
Os 0.0000 0.0000 2.9859
C 1.6413 1.6413 0.0000
Br 1.6413 1.6413 2.9859
```


Record 2
A plane-wave DFT calculation with PBEsol was carried out for crystalline TiBCBr2 at its relaxed geometry.

Space-group type: P4/mmm, No. 123
Total energy: -25.55 eV/cell

```
5
Lattice="5.0744 0.0000 0.0000 0.0000 5.0744 0.0000 0.0000 0.0000 3.0002" Properties=species:S:1:pos:R:3 pbc="T T T"
Ti 0.0000 0.0000 0.0000
B 2.5372 2.5372 1.5001
C 2.5372 2.5372 0.0000
Br 0.0000 2.5372 1.5001
Br 2.5372 0.0000 1.5001
```


Record 3
A plane-wave DFT calculation with PBEsol was carried out for crystalline CaBIr2Br at its relaxed geometry.

Space-group type: P4/mmm, No. 123
Total energy: -21.72 eV/cell

```
5
Lattice="4.5820 0.0000 0.0000 0.0000 4.5820 0.0000 0.0000 0.0000 5.1716" Properties=species:S:1:pos:R:3 pbc="T T T"
Ca 0.0000 0.0000 0.0000
B 2.2910 2.2910 0.0000
Ir 0.0000 2.2910 2.5858
Ir 2.2910 0.0000 2.5858
Br 0.0000 0.0000 2.5858
```


Record 4
A plane-wave DFT calculation with PBEsol was carried out for crystalline Ca2B5BrO9 at its relaxed geometry.

Space-group type: Pnn2, No. 34
Total energy: -533.65 eV/cell

```
68
Lattice="11.2687 0.0000 0.0000 0.0000 11.4189 0.0000 0.0000 0.0000 6.2665" Properties=species:S:1:pos:R:3 pbc="T T T"
Ca 0.3846 2.8229 0.0000
Ca 2.7742 5.3358 4.1932
Ca 2.8601 11.0453 1.0600
Ca 5.2497 8.5324 3.1332
Ca 6.0189 2.8865 3.1332
Ca 8.4085 0.3736 1.0600
Ca 8.4945 6.0831 4.1932
Ca 10.8841 8.5960 0.0000
B 0.2065 8.7875 3.4206
B 2.0646 8.3176 1.9395
B 2.3052 2.1778 3.0280
B 2.5642 9.1948 4.2002
B 2.7571 6.0125 1.3186
B 2.8773 0.3031 4.4518
B 3.0701 3.4854 1.0669
B 3.3292 7.8873 6.1612
B 3.5697 2.6081 5.0727
B 5.4278 3.0781 0.2874
B 5.8408 8.3408 0.2874
B 7.6990 8.8108 5.0727
B 7.9395 3.5316 6.1612
B 8.1985 7.9335 1.0669
B 8.3914 11.1158 4.4518
B 8.5116 5.4064 1.3186
B 8.7045 2.2241 4.2002
B 8.9635 9.2411 3.0280
B 9.2040 3.1013 1.9395
B 11.0622 2.6314 3.4206
Br 0.0000 0.0000 0.4424
Br 0.0000 5.7094 5.2497
Br 5.6343 0.0000 2.1165
Br 5.6343 5.7094 3.5756
O 0.6020 8.4893 2.1503
O 1.0941 2.5523 3.8108
O 1.1183 8.9644 4.4295
O 2.2349 2.4085 1.6045
O 2.2313 8.6097 0.5381
O 2.4379 6.9307 2.3006
O 2.4970 0.6927 3.1944
O 2.6750 4.7252 1.7560
O 2.7949 3.5708 5.8868
O 2.8394 9.2803 2.7536
O 2.9593 10.4346 4.8892
O 3.1373 6.4022 0.0612
O 3.1964 1.2212 5.4338
O 3.4031 2.9003 3.6713
O 3.3995 8.1179 4.7377
O 4.5161 3.2549 1.2963
O 4.5403 8.2617 0.6776
O 5.0323 2.7798 5.2835
O 6.2363 8.6391 5.2835
O 6.7284 3.1572 0.6776
O 6.7526 8.1640 1.2963
O 7.8692 3.3010 4.7377
O 7.8656 8.5186 3.6713
O 8.0722 10.1977 5.4338
O 8.1313 5.0167 0.0612
O 8.3094 0.9843 4.8892
O 8.4292 2.1386 2.7536
O 8.4738 7.8481 5.8868
O 8.5936 6.6937 1.7560
O 8.7717 10.7262 3.1944
O 8.8308 4.4882 2.3006
O 9.0374 2.8092 0.5381
O 9.0338 9.0104 1.6045
O 10.1504 2.4545 4.4295
O 10.1746 8.8666 3.8108
O 10.6667 2.9296 2.1503
```


Record 5
A plane-wave DFT calculation with PBEsol was carried out for crystalline CdBBr2 at its relaxed geometry.

Space-group type: Fm-3m, No. 225
Total energy: -8.71 eV/cell

```
4
Lattice="0.0000 3.4680 3.4680 3.4680 0.0000 3.4680 3.4680 3.4680 0.0000" Properties=species:S:1:pos:R:3 pbc="T T T"
Cd 0.0000 0.0000 0.0000
B 3.4680 3.4680 3.4680
Br 1.7340 1.7340 1.7340
Br 5.2019 5.2019 5.2019
```


Record 6
A plane-wave DFT calculation with PBEsol was carried out for crystalline La2CdBBr at its relaxed geometry.

Space-group type: P4/mmm, No. 123
Total energy: -15.01 eV/cell

```
5
Lattice="5.8525 0.0000 0.0000 0.0000 5.8525 0.0000 0.0000 0.0000 5.1764" Properties=species:S:1:pos:R:3 pbc="T T T"
La 0.0000 2.9263 0.0000
La 2.9263 0.0000 0.0000
Cd 0.0000 0.0000 0.0000
B 2.9263 2.9263 2.5882
Br 0.0000 0.0000 2.5882
```


Record 7
A plane-wave DFT calculation with PBEsol was carried out for crystalline BPBr2NCl3 at its relaxed geometry.

Space-group type: Cmce, No. 64
Total energy: -145.50 eV/cell

```
32
Lattice="6.5780 -6.1420 0.0000 6.5780 6.1420 0.0000 0.0000 0.0000 10.2896" Properties=species:S:1:pos:R:3 pbc="T T T"
B 1.0909 0.0000 0.0000
B 5.4871 0.0000 5.1448
B 7.6689 0.0000 5.1448
B 12.0652 0.0000 0.0000
P 6.5780 6.0830 7.6418
P 6.5780 0.0590 2.4970
P 6.5780 -0.0590 7.7926
P 6.5780 -6.0830 2.6478
Br 2.2541 1.6439 0.1711
Br 4.3240 1.6439 4.9737
Br 2.2541 -1.6439 10.1184
Br 4.3240 -1.6439 5.3159
Br 8.8321 1.6439 4.9737
Br 10.9020 1.6439 0.1711
Br 8.8321 -1.6439 5.3159
Br 10.9020 -1.6439 10.1184
N 6.5780 6.0265 1.0862
N 6.5780 0.1155 6.2310
N 6.5780 -0.1155 4.0586
N 6.5780 -6.0265 9.2034
Cl 1.6026 0.7702 6.8457
Cl 6.5780 4.2168 6.9502
Cl 1.6026 -0.7702 3.4438
Cl 4.9754 0.7702 8.5886
Cl 6.5780 1.9252 1.8054
Cl 4.9754 -0.7702 1.7010
Cl 8.1807 0.7702 8.5886
Cl 6.5780 -1.9252 8.4841
Cl 8.1807 -0.7702 1.7010
Cl 11.5534 0.7702 6.8457
Cl 6.5780 -4.2168 3.3393
Cl 11.5534 -0.7702 3.4438
```


Record 8
A plane-wave DFT calculation with PBEsol was carried out for crystalline CsBSeBr2 at its relaxed geometry.

Space-group type: P4/mmm, No. 123
Total energy: -16.36 eV/cell

```
5
Lattice="5.5621 0.0000 0.0000 0.0000 5.5621 0.0000 0.0000 0.0000 4.1218" Properties=species:S:1:pos:R:3 pbc="T T T"
Cs 0.0000 0.0000 0.0000
B 2.7811 2.7811 2.0609
Se 2.7811 2.7811 0.0000
Br 0.0000 2.7811 2.0609
Br 2.7811 0.0000 2.0609
```


Record 9
A plane-wave DFT calculation with PBEsol was carried out for crystalline Cu2BBr at its relaxed geometry.

Space-group type: Fm-3m, No. 225
Total energy: -12.75 eV/cell

```
4
Lattice="0.0000 3.0130 3.0130 3.0130 0.0000 3.0130 3.0130 3.0130 0.0000" Properties=species:S:1:pos:R:3 pbc="T T T"
Cu 1.5065 1.5065 1.5065
Cu 4.5194 4.5194 4.5194
B 0.0000 0.0000 0.0000
Br 3.0130 3.0130 3.0130
```